Version P
DFT (PBE with a Hubbard U) results for CsFe3O after structural relaxation.

* DOS at the Fermi energy: 0.406 states/eV per atom
* crystal system: cubic

a = 4.782 Å, b = 4.782 Å, c = 4.782 Å
α = 90.00°, β = 90.00°, γ = 90.00°
Atoms (fractional coordinates):
Cs (0.000, 0.000, 0.000)
Fe (0.000, 0.500, 0.500)
Fe (0.500, 0.000, 0.500)
Fe (0.500, 0.500, 0.000)
O (0.500, 0.500, 0.500)

---

Version Q
DFT (PBE with a Hubbard U) results for CsFe3O after structural relaxation.

* DOS at the Fermi energy: 0.881 states/eV per atom
* crystal system: cubic

a = 5.441 Å, b = 5.441 Å, c = 5.441 Å
α = 90.00°, β = 90.00°, γ = 90.00°
Atoms (fractional coordinates):
Cs (0.000, 0.000, 0.000)
Fe (0.000, 0.000, 0.500)
Fe (0.000, 0.500, 0.000)
Fe (0.500, 0.000, 0.000)
O (0.500, 0.500, 0.500)

---

The computed energies, referenced to the most stable structure and given in meV per atom, are version P 0; version Q 1779.